MoAuF3, optimized geometry, DFT PBE with a Hubbard U; spin magnetization = 0.607 μB per atom; energy relative to the lowest polymorph listed for this composition = 0 meV/atom; E = -4.62 eV/atom
1.0
4.283 0.000 0.000
0.000 4.283 0.000
0.000 0.000 4.283
Mo Au F
1 1 3
Direct
0.000 0.000 0.000
0.500 0.500 0.500
0.000 0.000 0.500
0.000 0.500 0.000
0.500 0.000 0.000